First-principles (PBE) data for crystalline Ni2TeC at its relaxed geometry, as listed in Alexandria via LeMat-Bulk.

a = 5.9194 Å, b = 5.9194 Å, c = 5.9194 Å
α = 90.00°, β = 90.00°, γ = 90.00°
Closest atoms and distances in Å follow each position.
Element x y z (fractional)
Ni 0.2500 0.2500 0.2500  4 Te 2.56, 4 C 2.56
Ni 0.2500 0.2500 0.7500  4 Te 2.56, 4 C 2.56
Ni 0.2500 0.7500 0.2500  4 Te 2.56, 4 C 2.56
Ni 0.2500 0.7500 0.7500  4 Te 2.56, 4 C 2.56
Ni 0.7500 0.2500 0.2500  4 Te 2.56, 4 C 2.56
Ni 0.7500 0.2500 0.7500  4 Te 2.56, 4 C 2.56
Ni 0.7500 0.7500 0.2500  4 Te 2.56, 4 C 2.56
Ni 0.7500 0.7500 0.7500  4 Te 2.56, 4 C 2.56
Te 0.0000 0.0000 0.0000  8 Ni 2.56
Te 0.0000 0.5000 0.5000  8 Ni 2.56
Te 0.5000 0.0000 0.5000  8 Ni 2.56
Te 0.5000 0.5000 0.0000  8 Ni 2.56
C 0.0000 0.0000 0.5000  8 Ni 2.56
C 0.0000 0.5000 0.0000  8 Ni 2.56
C 0.5000 0.0000 0.0000  8 Ni 2.56
C 0.5000 0.5000 0.5000  8 Ni 2.56

Summary:
- symmetry = Fm-3m, No. 225
- VASP energy (eV/atom) = -4.85
- magnetic moment (Bohr magnetons per cell) = 0.0
- Fermi-level density of states (states/eV/f.u.) = 1.82

---

First-principles (PBE) data for crystalline Ba2GaSiOs at its relaxed geometry, as listed in Alexandria via LeMat-Bulk.

a = 6.2393 Å, b = 6.2393 Å, c = 4.5154 Å
α = 90.00°, β = 90.00°, γ = 90.00°
Closest atoms and distances in Å follow each position.
Element x y z (fractional)
Ba 0.0000 0.5000 0.0000  2 Ga 3.12
Ba 0.5000 0.0000 0.0000  2 Ga 3.12
Ga 0.0000 0.0000 0.0000  2 Si 2.26
Si 0.0000 0.0000 0.5000  2 Ga 2.26
Os 0.5000 0.5000 0.5000  8 Ba 3.85

Summary:
- symmetry = P4/mmm, No. 123
- VASP energy (eV/atom) = -3.74
- magnetic moment (Bohr magnetons per cell) = 2.1
- Fermi-level density of states (states/eV/f.u.) = 7.28

---

First-principles (PBE) data for crystalline ThPa2ZnN5 at its relaxed geometry, as listed in Alexandria via LeMat-Bulk.

a = 7.3270 Å, b = 7.3270 Å, c = 7.3270 Å
α = 126.83°, β = 126.83°, γ = 78.53°
Closest atoms and distances in Å follow each position.
Element x y z (fractional)
Th 0.2500 0.2500 0.0000  10 N 2.78-2.84
Th 0.7500 0.7500 0.0000  10 N 2.78-2.84
Pa 0.1689 0.6689 0.8378  4 N 2.19-2.44
Pa 0.3311 0.1689 0.5000  4 N 2.19-2.44
Pa 0.6689 0.8311 0.5000  4 N 2.19-2.44
Pa 0.8311 0.3311 0.1621  4 N 2.19-2.44
Zn 0.2500 0.7500 0.5000  4 N 1.99
Zn 0.7500 0.2500 0.5000  4 N 1.99
N 0.0000 0.0000 0.0000  4 Pa 2.44
N 0.0273 0.2013 0.5000  1 Zn 1.99, 1 Pa 2.19
N 0.2013 0.7013 0.1740  1 Zn 1.99, 1 Pa 2.19
N 0.2987 0.4727 0.5000  1 Zn 1.99, 1 Pa 2.19
N 0.4727 0.9727 0.1740  1 Zn 1.99, 1 Pa 2.19
N 0.5000 0.5000 0.0000  4 Pa 2.44
N 0.5273 0.0273 0.8260  1 Zn 1.99, 1 Pa 2.19
N 0.7013 0.5273 0.5000  1 Zn 1.99, 1 Pa 2.19
N 0.7987 0.2987 0.8260  1 Zn 1.99, 1 Pa 2.19
N 0.9727 0.7987 0.5000  1 Zn 1.99, 1 Pa 2.19

Summary:
- symmetry = I4/mcm, No. 140
- VASP energy (eV/atom) = -8.94
- magnetic moment (Bohr magnetons per cell) = 0.0
- Fermi-level density of states (states/eV/f.u.) = 4.76

---

First-principles (PBE) data for crystalline CePmPrPb at its relaxed geometry, as listed in Alexandria via LeMat-Bulk.

a = 7.8841 Å, b = 7.8841 Å, c = 7.8841 Å
α = 90.00°, β = 90.00°, γ = 90.00°
Closest atoms and distances in Å follow each position.
Element x y z (fractional)
Ce 0.0000 0.0000 0.0000  4 Pr 3.41, 4 Pm 3.41
Ce 0.0000 0.5000 0.5000  4 Pr 3.41, 4 Pm 3.41
Ce 0.5000 0.0000 0.5000  4 Pr 3.41, 4 Pm 3.41
Ce 0.5000 0.5000 0.0000  4 Pr 3.41, 4 Pm 3.41
Pm 0.2500 0.2500 0.7500  4 Ce 3.41, 4 Pb 3.41
Pm 0.2500 0.7500 0.2500  4 Ce 3.41, 4 Pb 3.41
Pm 0.7500 0.2500 0.2500  4 Ce 3.41, 4 Pb 3.41
Pm 0.7500 0.7500 0.7500  4 Ce 3.41, 4 Pb 3.41
Pr 0.2500 0.2500 0.2500  4 Pb 3.41, 4 Ce 3.41
Pr 0.2500 0.7500 0.7500  4 Pb 3.41, 4 Ce 3.41
Pr 0.7500 0.2500 0.7500  4 Pb 3.41, 4 Ce 3.41
Pr 0.7500 0.7500 0.2500  4 Pb 3.41, 4 Ce 3.41
Pb 0.0000 0.0000 0.5000  4 Pm 3.41, 4 Pr 3.41
Pb 0.0000 0.5000 0.0000  4 Pm 3.41, 4 Pr 3.41
Pb 0.5000 0.0000 0.0000  4 Pm 3.41, 4 Pr 3.41
Pb 0.5000 0.5000 0.5000  4 Pm 3.41, 4 Pr 3.41

Summary:
- symmetry = F-43m, No. 216
- DFT formation energy (kJ/mol of atoms) = -9.3
- VASP energy (eV/atom) = -4.89
- magnetic moment (Bohr magnetons per cell) = 2.3
- Fermi-level density of states (states/eV/f.u.) = 8.92

---

First-principles (PBE) data for crystalline CoSb2TeAu at its relaxed geometry, as listed in Alexandria via LeMat-Bulk.

a = 5.3466 Å, b = 5.3466 Å, c = 5.4945 Å
α = 90.00°, β = 90.00°, γ = 90.00°
Closest atoms and distances in Å follow each position.
Element x y z (fractional)
Co 0.0000 0.0000 0.0000  4 Te 3.78, 8 Sb 3.83
Sb 0.0000 0.5000 0.5000  2 Au 2.67
Sb 0.5000 0.0000 0.5000  2 Au 2.67
Te 0.5000 0.5000 0.0000  2 Au 2.75
Au 0.5000 0.5000 0.5000  4 Sb 2.67, 2 Te 2.75

Summary:
- symmetry = P4/mmm, No. 123
- VASP energy (eV/atom) = -3.23
- magnetic moment (Bohr magnetons per cell) = 2.3
- Fermi-level density of states (states/eV/f.u.) = 4.42

---

First-principles (PBE) data for crystalline TcTeBr at its relaxed geometry, as listed in Alexandria via LeMat-Bulk.

a = 6.4438 Å, b = 6.4438 Å, c = 6.4438 Å
α = 90.00°, β = 90.00°, γ = 90.00°
Closest atoms and distances in Å follow each position.
Element x y z (fractional)
Tc 0.0000 0.0000 0.0000  4 Br 2.79, 4 Te 2.79
Tc 0.0000 0.5000 0.5000  4 Te 2.79, 4 Br 2.79
Tc 0.5000 0.0000 0.5000  4 Te 2.79, 4 Br 2.79
Tc 0.5000 0.5000 0.0000  4 Te 2.79, 4 Br 2.79
Te 0.2500 0.2500 0.2500  4 Tc 2.79
Te 0.2500 0.7500 0.7500  4 Tc 2.79
Te 0.7500 0.2500 0.7500  4 Tc 2.79
Te 0.7500 0.7500 0.2500  4 Tc 2.79
Br 0.2500 0.2500 0.7500  4 Tc 2.79
Br 0.2500 0.7500 0.2500  4 Tc 2.79
Br 0.7500 0.2500 0.2500  4 Tc 2.79
Br 0.7500 0.7500 0.7500  4 Tc 2.79

Summary:
- symmetry = F-43m, No. 216
- VASP energy (eV/atom) = -4.81
- magnetic moment (Bohr magnetons per cell) = 0.0
- Fermi-level density of states (states/eV/f.u.) = 0.48

---

First-principles (PBE) data for crystalline NbTc2RuC at its relaxed geometry, as listed in Alexandria via LeMat-Bulk.

a = 4.1029 Å, b = 4.1029 Å, c = 4.0463 Å
α = 90.00°, β = 90.00°, γ = 90.00°
Closest atoms and distances in Å follow each position.
Element x y z (fractional)
Nb 0.0000 0.0000 0.0000  8 Tc 2.88, 4 Ru 2.90
Tc 0.0000 0.5000 0.5000  2 C 2.05
Tc 0.5000 0.0000 0.5000  2 C 2.05
Ru 0.5000 0.5000 0.0000  2 C 2.02
C 0.5000 0.5000 0.5000  2 Ru 2.02, 4 Tc 2.05

Summary:
- symmetry = P4/mmm, No. 123
- DFT formation energy (kJ/mol of atoms) = -11.5
- VASP energy (eV/atom) = -9.98
- magnetic moment (Bohr magnetons per cell) = 0.0
- Fermi-level density of states (states/eV/f.u.) = 2.78

---

First-principles (PBE) data for crystalline Pm2PrTmTh at its relaxed geometry, as listed in Alexandria via LeMat-Bulk.

a = 8.6506 Å, b = 6.4564 Å, c = 6.4025 Å
α = 90.00°, β = 97.94°, γ = 90.00°
Closest atoms and distances in Å follow each position.
Element x y z (fractional)
Pm 0.1843 0.1894 0.2940  1 Pm 3.16, 1 Th 3.17, 1 Tm 3.49, 1 Pr 3.50
Pm 0.1843 0.8106 0.7940  1 Pm 3.16, 1 Th 3.17, 1 Tm 3.49, 1 Pr 3.50
Pm 0.8157 0.1894 0.2060  1 Pm 3.16, 1 Th 3.17, 1 Tm 3.49, 1 Pr 3.50
Pm 0.8157 0.8106 0.7060  1 Pm 3.16, 1 Th 3.17, 1 Tm 3.49, 1 Pr 3.50
Pr 0.5000 0.5000 0.0000  2 Pr 3.20, 2 Th 3.33, 2 Pm 3.50
Pr 0.5000 0.5000 0.5000  2 Pr 3.20, 2 Th 3.33, 2 Pm 3.50
Tm 0.0000 0.3282 0.7500  8 Pm 3.49-3.73, 2 Tm 3.89
Tm 0.0000 0.6718 0.2500  8 Pm 3.49-3.73, 2 Tm 3.89
Th 0.5000 0.0469 0.7500  2 Pm 3.17, 2 Th 3.26, 2 Pr 3.33
Th 0.5000 0.9531 0.2500  2 Pm 3.17, 2 Th 3.26, 2 Pr 3.33

Summary:
- symmetry = P2/c, No. 13
- DFT formation energy (kJ/mol of atoms) = 30.7
- VASP energy (eV/atom) = -4.92
- magnetic moment (Bohr magnetons per cell) = 0.0
- Fermi-level density of states (states/eV/f.u.) = 6.48

---

First-principles (PBE) data for crystalline PrGdZnCu at its relaxed geometry, as listed in Alexandria via LeMat-Bulk.

a = 7.2353 Å, b = 7.2353 Å, c = 7.2353 Å
α = 90.00°, β = 90.00°, γ = 90.00°
Closest atoms and distances in Å follow each position.
Element x y z (fractional)
Pr 0.0000 0.0000 0.0000  4 Zn 3.13, 4 Cu 3.13
Pr 0.0000 0.5000 0.5000  4 Cu 3.13, 4 Zn 3.13
Pr 0.5000 0.0000 0.5000  4 Cu 3.13, 4 Zn 3.13
Pr 0.5000 0.5000 0.0000  4 Cu 3.13, 4 Zn 3.13
Gd 0.0000 0.0000 0.5000  4 Cu 3.13, 4 Zn 3.13
Gd 0.0000 0.5000 0.0000  4 Cu 3.13, 4 Zn 3.13
Gd 0.5000 0.0000 0.0000  4 Cu 3.13, 4 Zn 3.13
Gd 0.5000 0.5000 0.5000  4 Cu 3.13, 4 Zn 3.13
Zn 0.2500 0.2500 0.2500  4 Gd 3.13, 4 Pr 3.13
Zn 0.2500 0.7500 0.7500  4 Gd 3.13, 4 Pr 3.13
Zn 0.7500 0.2500 0.7500  4 Gd 3.13, 4 Pr 3.13
Zn 0.7500 0.7500 0.2500  4 Gd 3.13, 4 Pr 3.13
Cu 0.2500 0.2500 0.7500  4 Gd 3.13, 4 Pr 3.13
Cu 0.2500 0.7500 0.2500  4 Gd 3.13, 4 Pr 3.13
Cu 0.7500 0.2500 0.2500  4 Gd 3.13, 4 Pr 3.13
Cu 0.7500 0.7500 0.7500  4 Gd 3.13, 4 Pr 3.13

Summary:
- symmetry = F-43m, No. 216
- DFT formation energy (kJ/mol of atoms) = -22.3
- VASP energy (eV/atom) = -6.29
- magnetic moment (Bohr magnetons per cell) = 29.6
- Fermi-level density of states (states/eV/f.u.) = 3.94

---

First-principles (PBE) data for crystalline LaAlRe2 at its relaxed geometry, as listed in Alexandria via LeMat-Bulk.

a = 3.0875 Å, b = 4.8087 Å, c = 9.8725 Å
α = 90.00°, β = 90.00°, γ = 90.00°
Closest atoms and distances in Å follow each position.
Element x y z (fractional)
La 0.0000 0.0000 0.0000  6 La 2.86-3.09, 2 Re 3.14
La 0.5000 0.5000 0.0000  6 La 2.86-3.09, 2 Re 3.14
Al 0.0000 0.5000 0.7083  2 Re 2.66, 4 Al 2.86
Al 0.5000 0.0000 0.7083  2 Re 2.66, 4 Al 2.86
Re 0.0000 0.0000 0.4884  6 Re 2.60-2.86, 2 Al 2.66
Re 0.0000 0.5000 0.2765  6 Re 2.60-2.86
Re 0.5000 0.0000 0.2765  6 Re 2.60-2.86
Re 0.5000 0.5000 0.4884  6 Re 2.60-2.86, 2 Al 2.66

Summary:
- symmetry = Cmm2, No. 35
- DFT formation energy (kJ/mol of atoms) = 35.9
- VASP energy (eV/atom) = -8.02
- magnetic moment (Bohr magnetons per cell) = 0.0
- Fermi-level density of states (states/eV/f.u.) = 2.68

---

First-principles (PBE) data for crystalline ErLuPtAu at its relaxed geometry, as listed in Alexandria via LeMat-Bulk.

a = 6.9872 Å, b = 6.9872 Å, c = 6.9872 Å
α = 90.00°, β = 90.00°, γ = 90.00°
Closest atoms and distances in Å follow each position.
Element x y z (fractional)
Er 0.0000 0.0000 0.0000  4 Pt 3.03, 4 Au 3.03
Er 0.0000 0.5000 0.5000  4 Pt 3.03, 4 Au 3.03
Er 0.5000 0.0000 0.5000  4 Pt 3.03, 4 Au 3.03
Er 0.5000 0.5000 0.0000  4 Pt 3.03, 4 Au 3.03
Lu 0.0000 0.0000 0.5000  4 Pt 3.03, 4 Au 3.03
Lu 0.0000 0.5000 0.0000  4 Pt 3.03, 4 Au 3.03
Lu 0.5000 0.0000 0.0000  4 Pt 3.03, 4 Au 3.03
Lu 0.5000 0.5000 0.5000  4 Au 3.03, 4 Pt 3.03
Pt 0.2500 0.2500 0.7500  4 Er 3.03, 4 Lu 3.03
Pt 0.2500 0.7500 0.2500  4 Er 3.03, 4 Lu 3.03
Pt 0.7500 0.2500 0.2500  4 Er 3.03, 4 Lu 3.03
Pt 0.7500 0.7500 0.7500  4 Er 3.03, 4 Lu 3.03
Au 0.2500 0.2500 0.2500  4 Er 3.03, 4 Lu 3.03
Au 0.2500 0.7500 0.7500  4 Er 3.03, 4 Lu 3.03
Au 0.7500 0.2500 0.7500  4 Er 3.03, 4 Lu 3.03
Au 0.7500 0.7500 0.2500  4 Er 3.03, 4 Lu 3.03

Summary:
- symmetry = F-43m, No. 216
- DFT formation energy (kJ/mol of atoms) = -104.3
- VASP energy (eV/atom) = -5.68
- magnetic moment (Bohr magnetons per cell) = 0.0
- Fermi-level density of states (states/eV/f.u.) = 2.53

---

First-principles (PBE) data for crystalline PmPr2Tm at its relaxed geometry, as listed in Alexandria via LeMat-Bulk.

a = 3.6531 Å, b = 3.6531 Å, c = 35.5078 Å
α = 90.00°, β = 90.00°, γ = 120.00°
Closest atoms and distances in Å follow each position.
Element x y z (fractional)
Pm 0.0000 0.0000 0.0000  6 Pm 3.65, 6 Pr 3.67-3.69
Pm 0.3333 0.6667 0.6667  6 Pm 3.65, 6 Pr 3.67-3.69
Pm 0.6667 0.3333 0.3333  6 Pm 3.65, 6 Pr 3.67-3.69
Pr 0.0000 0.0000 0.5822  3 Tm 3.58, 6 Pr 3.65, 3 Pm 3.67
Pr 0.0000 0.0000 0.7521  3 Tm 3.60, 6 Pr 3.65, 3 Pm 3.69
Pr 0.3333 0.6667 0.2489  3 Tm 3.58, 6 Pr 3.65, 3 Pm 3.67
Pr 0.3333 0.6667 0.4188  3 Tm 3.60, 6 Pr 3.65, 3 Pm 3.69
Pr 0.6667 0.3333 0.0854  3 Tm 3.60, 6 Pr 3.65, 3 Pm 3.69
Pr 0.6667 0.3333 0.9156  3 Tm 3.58, 6 Pr 3.65, 3 Pm 3.67
Tm 0.0000 0.0000 0.1675  6 Pr 3.58-3.60, 6 Tm 3.65
Tm 0.3333 0.6667 0.8342  6 Pr 3.58-3.60, 6 Tm 3.65
Tm 0.6667 0.3333 0.5009  6 Pr 3.58-3.60, 6 Tm 3.65

Summary:
- symmetry = R3m, No. 160
- DFT formation energy (kJ/mol of atoms) = 2.3
- VASP energy (eV/atom) = -4.67
- magnetic moment (Bohr magnetons per cell) = 0.0
- Fermi-level density of states (states/eV/f.u.) = 5.84